1.
A relaxed structure of GaBIr2. Source: Alexandria via LeMat-Bulk, functional PBE-GGA.

- spin magnetization (μB/atom) = 0.000
- space group = R-3m, No. 166
- distance to the lowest polymorph of the same formula (kJ/mol of atoms) = 14.6
- DOS at the Fermi energy (states/eV/atom) = 0.81
- crystal system = trigonal
- calculated formation energy (eV per atom) = -0.14

a = 2.9262 Å, b = 2.9262 Å, c = 7.1904 Å
α = 78.26°, β = 78.26°, γ = 60.00°
Positions (direct):
B (0.5000, 0.5000, 0.5000)
Ir (0.7667, 0.7667, 0.6998)
Ir (0.2333, 0.2333, 0.3002)
Ga (0.0000, 0.0000, 0.0000)



2.
A relaxed structure of GaBIr2. Source: Alexandria via LeMat-Bulk, functional PBE-GGA.

- spin magnetization (μB/atom) = 0.000
- space group = P4/mmm, No. 123
- distance to the lowest polymorph of the same formula (kJ/mol of atoms) = 20.1
- DOS at the Fermi energy (states/eV/atom) = 0.34
- crystal system = tetragonal
- calculated formation energy (eV per atom) = -0.09

a = 2.7888 Å, b = 2.7888 Å, c = 6.3595 Å
α = 90.00°, β = 90.00°, γ = 90.00°
Positions (direct):
B (0.5000, 0.5000, 0.0000)
Ir (0.0000, 0.0000, 0.7909)
Ir (0.0000, 0.0000, 0.2091)
Ga (0.5000, 0.5000, 0.5000)



3.
A relaxed structure of GaB3Ir. Source: Alexandria via LeMat-Bulk, functional PBE-GGA.

- spin magnetization (μB/atom) = 0.000
- space group = Pm-3m, No. 221
- distance to the lowest polymorph of the same formula (kJ/mol of atoms) = 118.6
- DOS at the Fermi energy (states/eV/atom) = 0.71
- crystal system = cubic
- calculated formation energy (eV per atom) = 2.13

a = 3.9736 Å, b = 3.9736 Å, c = 3.9736 Å
α = 90.00°, β = 90.00°, γ = 90.00°
Positions (direct):
B (0.0000, 0.5000, 0.0000)
B (0.0000, 0.0000, 0.5000)
B (0.5000, 0.0000, 0.0000)
Ir (0.5000, 0.5000, 0.5000)
Ga (0.0000, 0.0000, 0.0000)



4.
A relaxed structure of GaBIr2. Source: Alexandria via LeMat-Bulk, functional PBE-GGA.

- spin magnetization (μB/atom) = 0.000
- space group = I-42d, No. 122
- distance to the lowest polymorph of the same formula (kJ/mol of atoms) = 51.7
- DOS at the Fermi energy (states/eV/atom) = 0.08
- crystal system = tetragonal
- calculated formation energy (eV per atom) = 0.24

a = 5.3100 Å, b = 5.3100 Å, c = 6.0524 Å
α = 63.98°, β = 63.98°, γ = 90.00°
Positions (direct):
B (0.5000, 0.5000, 0.0000)
B (0.2500, 0.7500, 0.5000)
Ir (0.5547, 0.1250, 0.2500)
Ir (0.1953, 0.6250, 0.2500)
Ir (0.3750, 0.4453, 0.7500)
Ir (0.8750, 0.8047, 0.7500)
Ga (0.0000, 0.0000, 0.0000)
Ga (0.7500, 0.2500, 0.5000)